First-principles (PBE) data for an optimized crystal structure of TbCeBr6, as listed in Alexandria via LeMat-Bulk.

formation energy from raw total energies: -1.798 eV/atom
N(E_F): 25.20 states/eV/cell
size of the total moment: 3.000 μB/cell
excess energy over the best structure of this formula in the dataset: 0.0128 eV per atom

Unit cell a=7.1990 b=7.1990 c=19.7612 alpha=90.00 beta=90.00 gamma=120.00
Space group R-3 (No. 148, hexagonal axes)
Symmetry-distinct sites (fractional):
Tb 0.0000 0.0000 0.0000 x3
Ce 0.0000 0.0000 0.5000 x3
Br 0.0065 0.3256 0.0818 x18

=====

First-principles (PBE) data for an optimized crystal structure of Ba3Hg, as listed in Alexandria via LeMat-Bulk.

N(E_F): 25.54 states/eV/cell
size of the total moment: 1.711 μB/cell
excess energy over the best structure of this formula in the dataset: 0.0085 eV per atom

Unit cell a=8.782 b=11.767 c=7.901 alpha=90.00 beta=90.00 gamma=90.00
Space group Pnma (No. 62)
Symmetry-distinct sites (fractional):
Ba 0.029 0.250 0.137 x4
Ba 0.180 0.065 0.672 x8
Hg 0.115 0.750 0.448 x4

=====

First-principles (PBE) data for an optimized crystal structure of SnTe2Br, as listed in Alexandria via LeMat-Bulk.

formation energy from raw total energies: -0.109 eV/atom
N(E_F): 5.91 states/eV/cell
size of the total moment: 0.000 μB/cell
excess energy over the best structure of this formula in the dataset: 0.0000 eV per atom

Unit cell a=4.3725 b=4.3725 c=27.2063 alpha=90.00 beta=90.00 gamma=120.00
Space group R-3m (No. 166, hexagonal axes)
Symmetry-distinct sites (fractional):
Sn 0.0000 0.0000 0.0000 x3
Te 0.0000 0.0000 0.3970 x6
Br 0.0000 0.0000 0.5000 x3

=====

First-principles (PBE) data for an optimized crystal structure of Ac2Sm3Er6, as listed in Alexandria via LeMat-Bulk.

N(E_F): 29.95 states/eV/cell
size of the total moment: 0.004 μB/cell
E: -0.31843 Ry per atom

Unit cell a=6.208 b=10.762 c=11.937 alpha=90.00 beta=99.99 gamma=90.00
Space group C2/m (No. 12)
Symmetry-distinct sites (fractional):
Ac 0.000 0.167 0.000 x4
Sm 0.000 0.000 0.500 x2
Sm 0.000 0.335 0.500 x4
Er 0.246 0.500 0.742 x4
Er 0.248 0.166 0.742 x8

=====

First-principles (PBE) data for an optimized crystal structure of CaErTc2O8, as listed in Alexandria via LeMat-Bulk.

formation energy from raw total energies: -2.032 eV/atom
N(E_F): 8.30 states/eV/cell
size of the total moment: 3.001 μB/cell

Unit cell a=5.8909 b=5.8909 c=6.7298 alpha=90.00 beta=90.00 gamma=120.00
Space group P-3m1 (No. 164)
Symmetry-distinct sites (fractional):
Ca 0.0000 0.0000 0.0000 x1
Er 0.0000 0.0000 0.5000 x1
Tc 0.3333 0.6667 0.8041 x2
O 0.1610 0.3220 0.7243 x6
O 0.3333 0.6667 0.0647 x2

=====

First-principles (PBE) data for an optimized crystal structure of TcPt2Br, as listed in Alexandria via LeMat-Bulk.

formation energy from raw total energies: 0.816 eV/atom
N(E_F): 11.74 states/eV/cell
size of the total moment: 0.003 μB/cell
excess energy over the best structure of this formula in the dataset: 0.6058 eV per atom

Unit cell a=4.014 b=4.014 c=8.259 alpha=90.00 beta=90.00 gamma=90.00
Space group I4/mmm (No. 139)
Symmetry-distinct sites (fractional):
Tc 0.000 0.000 0.000 x2
Pt 0.000 0.500 0.250 x4
Br 0.000 0.000 0.500 x2

=====

> Which of these has the lowest size of the total moment?

SnTe2Br

=====

What did the third record say?
First-principles (PBE) data for an optimized crystal structure of SnTe2Br, as listed in Alexandria via LeMat-Bulk.

formation energy from raw total energies: -0.109 eV/atom
N(E_F): 5.91 states/eV/cell
size of the total moment: 0.000 μB/cell
excess energy over the best structure of this formula in the dataset: 0.0000 eV per atom

Unit cell a=4.3725 b=4.3725 c=27.2063 alpha=90.00 beta=90.00 gamma=120.00
Space group R-3m (No. 166, hexagonal axes)
Symmetry-distinct sites (fractional):
Sn 0.0000 0.0000 0.0000 x3
Te 0.0000 0.0000 0.3970 x6
Br 0.0000 0.0000 0.5000 x3

=====

Please write out number 2 again, unchanged.
First-principles (PBE) data for an optimized crystal structure of Ba3Hg, as listed in Alexandria via LeMat-Bulk.

N(E_F): 25.54 states/eV/cell
size of the total moment: 1.711 μB/cell
excess energy over the best structure of this formula in the dataset: 0.0085 eV per atom

Unit cell a=8.782 b=11.767 c=7.901 alpha=90.00 beta=90.00 gamma=90.00
Space group Pnma (No. 62)
Symmetry-distinct sites (fractional):
Ba 0.029 0.250 0.137 x4
Ba 0.180 0.065 0.672 x8
Hg 0.115 0.750 0.448 x4

=====

> Look up the N(E_F) of the fourth one.

29.95 states/eV/cell